Li4Mn3O7 PBE with a Hubbard U relaxed; space-group type = P-1 (2); final energy = -179.6 eV for the cell shown; total magnetic moment = 11.00 μB/f.u.; calculated density = 3.9 g cm⁻³
1.0
5.322 0.000 0.000
-1.024 7.589 0.000
-2.057 -3.716 6.478
Li Mn O
8 6 14
direct
0.000 0.000 0.000
0.000 0.500 0.500
0.139 0.428 0.156
0.303 0.857 0.295
0.472 0.300 0.452
0.528 0.700 0.548
0.697 0.143 0.705
0.861 0.572 0.844
0.150 0.925 0.642
0.277 0.359 0.780
0.423 0.784 0.923
0.577 0.216 0.077
0.723 0.641 0.220
0.850 0.075 0.358
0.062 0.763 0.766
0.142 0.694 0.402
0.197 0.182 0.898
0.281 0.608 0.013
0.282 0.114 0.549
0.421 0.032 0.158
0.439 0.545 0.699
0.561 0.455 0.301
0.579 0.968 0.842
0.718 0.886 0.451
0.719 0.392 0.987
0.803 0.818 0.102
0.858 0.306 0.598
0.938 0.237 0.234